# PBE LaCo2Ni2, relaxed
data_LaCo2Ni2
_cell_length_a 3.7832
_cell_length_b 3.7832
_cell_length_c 10.6760
_cell_angle_alpha 90.00
_cell_angle_beta 90.00
_cell_angle_gamma 90.00
_symmetry_space_group_name_H-M 'I 4/m m m'
_symmetry_Int_Tables_number 139
_symmetry_space_group_name_Hall '-I 4 2'
loop_
_atom_site_label
_atom_site_type_symbol
_atom_site_fract_x
_atom_site_fract_y
_atom_site_fract_z
La1 La 0.0000 0.0000 0.0000
Co1 Co 0.0000 0.5000 0.2500
Ni1 Ni 0.0000 0.0000 0.3860
# Energy, eV per atom: -6.06
# Energy of formation, eV per formula unit: -0.05
# Total moment, μB per formula unit: 3.62
# Crystal system: tetragonal